# 1
Here is a relaxed structure of SiTeSe4 from the Alexandria database. Energies are from PBE.

Results
Energy relative to the elements, uncorrected   457 kJ/mol of formula units
DOS(E_F)   22.66 states/eV/cell
Energy   -2.96 eV/atom

Geometry as CIF:
```
data_SiTeSe4
_chemical_formula_sum 'Si4 Te4 Se16'
_symmetry_space_group_name_H-M 'F -4 3 m'
_symmetry_Int_Tables_number 216
_symmetry_space_group_name_Hall 'F -4 2 3'
_cell_length_a 8.134
_cell_length_b 8.134
_cell_length_c 8.134
_cell_angle_alpha 90.00
_cell_angle_beta 90.00
_cell_angle_gamma 90.00
loop_
_atom_site_label
_atom_site_fract_x
_atom_site_fract_y
_atom_site_fract_z
Si1 0.000 0.000 0.000
Te1 0.250 0.250 0.750
Se1 0.125 0.125 0.375
```

=====

# 2
Here is a relaxed structure of SiTe2Se from the Alexandria database. Energies are from PBE.

Results
Energy relative to the elements, uncorrected   53 kJ/mol of formula units
DOS(E_F)   1.55 states/eV/cell
Energy   -3.66 eV/atom

Geometry as CIF:
```
data_SiTe2Se
_chemical_formula_sum 'Si1 Te2 Se1'
_symmetry_space_group_name_H-M 'P 1 m 1'
_symmetry_Int_Tables_number 6
_symmetry_space_group_name_Hall 'P -2y'
_cell_length_a 5.297
_cell_length_b 3.847
_cell_length_c 5.422
_cell_angle_alpha 90.00
_cell_angle_beta 110.51
_cell_angle_gamma 90.00
loop_
_atom_site_label
_atom_site_fract_x
_atom_site_fract_y
_atom_site_fract_z
Si1 0.000 0.000 0.000
Te1 0.180 0.500 0.711
Te2 0.453 0.000 0.427
Se1 0.752 0.500 0.143
```

=====

# 3
Here is a relaxed structure of SiTe2Se from the Alexandria database. Energies are from PBE.

Results
Energy relative to the elements, uncorrected   60 kJ/mol of formula units
DOS(E_F)   2.85 states/eV/cell
Energy   -3.64 eV/atom

Geometry as CIF:
```
data_SiTe2Se
_chemical_formula_sum 'Si1 Te2 Se1'
_symmetry_space_group_name_H-M 'P 1 2/m 1'
_symmetry_Int_Tables_number 10
_symmetry_space_group_name_Hall '-P 2y'
_cell_length_a 5.140
_cell_length_b 3.788
_cell_length_c 5.804
_cell_angle_alpha 90.00
_cell_angle_beta 99.71
_cell_angle_gamma 90.00
loop_
_atom_site_label
_atom_site_fract_x
_atom_site_fract_y
_atom_site_fract_z
Si1 0.000 0.000 0.000
Te1 0.178 0.500 0.336
Se1 0.500 0.000 0.000
```

=====

# 4
Here is a relaxed structure of SiTe2Se from the Alexandria database. Energies are from PBE.

Results
Energy relative to the elements, uncorrected   91 kJ/mol of formula units
DOS(E_F)   8.20 states/eV/cell
Energy   -3.56 eV/atom

Geometry as CIF:
```
data_SiTe2Se
_chemical_formula_sum 'Si3 Te6 Se3'
_symmetry_space_group_name_H-M 'R -3 m'
_symmetry_Int_Tables_number 166
_symmetry_space_group_name_Hall '-R 3 2"'
_cell_length_a 3.9714
_cell_length_b 3.9714
_cell_length_c 25.6849
_cell_angle_alpha 90.00
_cell_angle_beta 90.00
_cell_angle_gamma 120.00
loop_
_atom_site_label
_atom_site_fract_x
_atom_site_fract_y
_atom_site_fract_z
Si1 0.0000 0.0000 0.0000
Te1 0.0000 0.0000 0.3954
Se1 0.0000 0.0000 0.5000
```

=====

# 5
Here is a relaxed structure of SiTe2Se from the Alexandria database. Energies are from PBE.

Results
Energy relative to the elements, uncorrected   150 kJ/mol of formula units
DOS(E_F)   4.77 states/eV/cell
Energy   -3.41 eV/atom

Geometry as CIF:
```
data_SiTe2Se
_chemical_formula_sum 'Si2 Te4 Se2'
_symmetry_space_group_name_H-M 'I -4 m 2'
_symmetry_Int_Tables_number 119
_symmetry_space_group_name_Hall 'I -4 -2'
_cell_length_a 3.987
_cell_length_b 3.987
_cell_length_c 15.228
_cell_angle_alpha 90.00
_cell_angle_beta 90.00
_cell_angle_gamma 90.00
loop_
_atom_site_label
_atom_site_fract_x
_atom_site_fract_y
_atom_site_fract_z
Si1 0.000 0.000 0.000
Te1 0.000 0.000 0.500
Te2 0.000 0.500 0.750
Se1 0.000 0.500 0.250
```

=====

# 6
Here is a relaxed structure of SiTe2Se2 from the Alexandria database. Energies are from PBE.

Results
Energy relative to the elements, uncorrected   224 kJ/mol of formula units
Energy relative to the lowest polymorph listed for this composition   0 meV per atom
DOS(E_F)   5.84 states/eV/cell
Energy   -3.27 eV/atom

Geometry as CIF:
```
data_SiTe2Se2
_chemical_formula_sum 'Si2 Te4 Se4'
_symmetry_space_group_name_H-M 'I 4/m m m'
_symmetry_Int_Tables_number 139
_symmetry_space_group_name_Hall '-I 4 2'
_cell_length_a 5.730
_cell_length_b 5.730
_cell_length_c 8.973
_cell_angle_alpha 90.00
_cell_angle_beta 90.00
_cell_angle_gamma 90.00
loop_
_atom_site_label
_atom_site_fract_x
_atom_site_fract_y
_atom_site_fract_z
Si1 0.000 0.000 0.000
Te1 0.000 0.500 0.250
Se1 0.000 0.000 0.299
```

=====

# 7
Here is a relaxed structure of SiTeSe2 from the Alexandria database. Energies are from PBE.

Results
Energy relative to the elements, uncorrected   169 kJ/mol of formula units
Energy relative to the lowest polymorph listed for this composition   624 meV per atom
DOS(E_F)   1.47 states/eV/cell
Energy   -3.44 eV/atom

Geometry as CIF:
```
data_SiTeSe2
_chemical_formula_sum 'Si1 Te1 Se2'
_symmetry_space_group_name_H-M 'P 4/m m m'
_symmetry_Int_Tables_number 123
_symmetry_space_group_name_Hall '-P 4 2'
_cell_length_a 4.958
_cell_length_b 4.958
_cell_length_c 3.545
_cell_angle_alpha 90.00
_cell_angle_beta 90.00
_cell_angle_gamma 90.00
loop_
_atom_site_label
_atom_site_fract_x
_atom_site_fract_y
_atom_site_fract_z
Si1 0.000 0.000 0.000
Te1 0.500 0.500 0.000
Se1 0.000 0.500 0.500
```

=====

# 8
Here is a relaxed structure of SiTeSe2 from the Alexandria database. Energies are from PBE.

Results
Energy relative to the elements, uncorrected   120 kJ/mol of formula units
Energy relative to the lowest polymorph listed for this composition   497 meV per atom
DOS(E_F)   1.91 states/eV/cell
Energy   -3.57 eV/atom

Geometry as CIF:
```
data_SiTeSe2
_chemical_formula_sum 'Si1 Te1 Se2'
_symmetry_space_group_name_H-M 'P 4 m m'
_symmetry_Int_Tables_number 99
_symmetry_space_group_name_Hall 'P 4 -2'
_cell_length_a 3.439
_cell_length_b 3.439
_cell_length_c 8.278
_cell_angle_alpha 90.00
_cell_angle_beta 90.00
_cell_angle_gamma 90.00
loop_
_atom_site_label
_atom_site_fract_x
_atom_site_fract_y
_atom_site_fract_z
Si1 0.000 0.000 0.000
Te1 0.500 0.500 0.299
Se1 0.000 0.000 0.482
Se2 0.500 0.500 0.871
```

=====

Number 7 is which compound?
SiTeSe2